## La8ErTl2 (PBE)

Data for La8ErTl2 after structural relaxation.

The total energy is -4.494 eV/atom. The value obtained for the formation energy is -0.71 eV per formula unit.

Unit cell a=6.0346 b=8.9999 c=8.9999 alpha=119.11 beta=102.29 gamma=102.29
Closest atoms and distances in Å follow each position.
Sites, in units of the cell vectors:
La 0.9050 0.9122 0.6968  2 La 3.26-3.34, 2 Tl 3.35-3.47
La 0.9050 0.6968 0.9122  2 La 3.26-3.34, 2 Tl 3.35-3.47
La 0.3015 0.6013 0.6013  1 Er 3.32, 2 La 3.32-3.59, 2 Tl 3.45
La 0.5000 0.7769 0.2231  2 Tl 3.28, 1 Er 3.46
La 0.5000 0.2231 0.7769  2 Tl 3.28, 1 Er 3.46
La 0.6985 0.3987 0.3987  1 Er 3.32, 2 La 3.32-3.59, 2 Tl 3.45
La 0.0950 0.3032 0.0878  2 La 3.26-3.34, 2 Tl 3.35-3.47
La 0.0950 0.0878 0.3032  2 La 3.26-3.34, 2 Tl 3.35-3.47
Er 0.5000 0.0000 0.0000  8 La 3.32-3.67
Tl 0.0000 0.3052 0.6948  8 La 3.28-3.47
Tl 0.0000 0.6948 0.3052  8 La 3.28-3.47